# LaZr2Pt2 | the Alexandria database | PBE | relaxed
data_LaZr2Pt2
_symmetry_space_group_name_H-M 'P 1'
_symmetry_Int_Tables_number 1
_cell_length_a 7.9954
_cell_length_b 7.9954
_cell_length_c 3.4512
_cell_angle_alpha 90.00
_cell_angle_beta 90.00
_cell_angle_gamma 90.00
loop_
_symmetry_equiv_pos_as_xyz
'x,y,z'
loop_
_atom_site_label
_atom_site_fract_x
_atom_site_fract_y
_atom_site_fract_z
La1 0.0000 0.0000 0.0000
La2 0.5000 0.5000 0.0000
Zr1 0.1591 0.3409 0.5000
Zr2 0.3409 0.8409 0.5000
Zr3 0.6591 0.1591 0.5000
Zr4 0.8409 0.6591 0.5000
Pt1 0.1258 0.6258 0.0000
Pt2 0.3742 0.1258 0.0000
Pt3 0.6258 0.8742 0.0000
Pt4 0.8742 0.3742 0.0000
# Excess energy over the best structure of this formula in the dataset in meV per atom: 149
# M_tot in μB/f.u.: 0.000
# Crystal system: tetragonal
# Calculated formation energy in meV per atom: -736
# Fermi-level density of states in states/eV/f.u.: 4.3

=====

# CaSn2O4 | the Alexandria database | PBE | relaxed
data_CaSn2O4
_symmetry_space_group_name_H-M 'P 1'
_symmetry_Int_Tables_number 1
_cell_length_a 5.7295
_cell_length_b 5.7295
_cell_length_c 11.0180
_cell_angle_alpha 90.00
_cell_angle_beta 90.00
_cell_angle_gamma 146.20
loop_
_symmetry_equiv_pos_as_xyz
'x,y,z'
loop_
_atom_site_label
_atom_site_fract_x
_atom_site_fract_y
_atom_site_fract_z
Ca1 0.1100 0.8900 0.7500
Ca2 0.8900 0.1100 0.2500
Sn1 0.3686 0.6314 0.5729
Sn2 0.3686 0.6314 0.9271
Sn3 0.6314 0.3686 0.0729
Sn4 0.6314 0.3686 0.4271
O1 0.0000 0.0000 0.0000
O2 0.0000 0.0000 0.5000
O3 0.2720 0.7280 0.1115
O4 0.2720 0.7280 0.3885
O5 0.4581 0.5419 0.7500
O6 0.5419 0.4581 0.2500
O7 0.7280 0.2720 0.6115
O8 0.7280 0.2720 0.8885
# Excess energy over the best structure of this formula in the dataset in meV per atom: 212
# M_tot in μB/f.u.: 0.000
# Crystal system: orthorhombic
# Uncorrected formation energy in eV per atom: -1.702
# Fermi-level density of states in states/eV/f.u.: 1.5